In2NiPd9 | PBE | optimized geometry

Summary:
D(E_F): 17.1 states/eV/f.u.
DFT formation energy: -0.265 eV/atom
V: 15.8 A^3/atom
Raw total energy: -5.098 eV per atom

a b c (Å): 3.999 3.999 11.880
angles (deg): 90.00 90.00 90.00
Element x y z (fractional)
In 0.000 0.000 0.172
In 0.000 0.000 0.828
Ni 0.000 0.000 0.500
Pd 0.000 0.500 0.000
Pd 0.000 0.500 0.344
Pd 0.000 0.500 0.656
Pd 0.500 0.000 0.000
Pd 0.500 0.000 0.344
Pd 0.500 0.000 0.656
Pd 0.500 0.500 0.173
Pd 0.500 0.500 0.500
Pd 0.500 0.500 0.827